[1]
Computed, not measured: a relaxed structure of FeIrS2N at the PBE level of DFT.

Values from the calculation:
ρ = 6.29 g/cm³
Raw total energy = -6.05 eV/atom
Space-group type = No. 123
Raw formation energy = 0.73 eV/atom

Cell: 4.871 4.871 3.631 Å, 90.00 90.00 90.00°
Fractional coordinates of all 5 atoms:
1 S 0.000 0.500 0.000
2 S 0.500 0.000 0.000
3 N 0.000 0.000 0.500
4 Fe 0.500 0.500 0.500
5 Ir 0.000 0.000 0.000

***

[2]
Computed, not measured: a relaxed structure of FeIrS2N at the PBE level of DFT.

Values from the calculation:
ρ = 7.94 g/cm³
Raw total energy = -6.05 eV/atom
Space-group type = No. 123
Raw formation energy = 0.73 eV/atom

Cell: 4.537 4.537 3.313 Å, 90.00 90.00 90.00°
Fractional coordinates of all 5 atoms:
1 Fe 0.000 0.000 0.000
2 N 0.000 0.000 0.500
3 S 0.000 0.500 0.000
4 S 0.500 0.000 0.000
5 Ir 0.500 0.500 0.500

***

[3]
Computed, not measured: a relaxed structure of FeIrSN2 at the PBE level of DFT.

Values from the calculation:
ρ = 8.08 g/cm³
Raw total energy = -6.49 eV/atom
Space-group type = No. 123
Raw formation energy = 1.13 eV/atom
Distance to the lowest polymorph of the same formula = 151 meV/atom

Cell: 3.488 3.488 5.204 Å, 90.00 90.00 90.00°
Fractional coordinates of all 5 atoms:
1 N 0.500 0.000 0.000
2 N 0.000 0.500 0.000
3 Ir 0.500 0.500 0.500
4 Fe 0.000 0.000 0.000
5 S 0.000 0.000 0.500

***

[4]
Computed, not measured: a relaxed structure of FeIrSeN2 at the PBE level of DFT.

Values from the calculation:
ρ = 8.32 g/cm³
Raw total energy = -6.37 eV/atom
Space-group type = No. 123
Raw formation energy = 1.12 eV/atom
Distance to the lowest polymorph of the same formula = 177 meV/atom

Cell: 3.526 3.526 5.702 Å, 90.00 90.00 90.00°
Fractional coordinates of all 5 atoms:
1 N 0.500 0.000 0.000
2 N 0.000 0.500 0.000
3 Se 0.000 0.000 0.500
4 Fe 0.000 0.000 0.000
5 Ir 0.500 0.500 0.500

***

[5]
Computed, not measured: a relaxed structure of FeIrSeN2 at the PBE level of DFT.

Values from the calculation:
ρ = 7.20 g/cm³
Raw total energy = -6.54 eV/atom
Space-group type = No. 123
Raw formation energy = 0.95 eV/atom
Distance to the lowest polymorph of the same formula = 0 meV/atom

Cell: 3.734 3.734 5.871 Å, 90.00 90.00 90.00°
Fractional coordinates of all 5 atoms:
1 Ir 0.000 0.000 0.000
2 N 0.500 0.000 0.000
3 N 0.000 0.500 0.000
4 Se 0.000 0.000 0.500
5 Fe 0.500 0.500 0.500

***

[6]
Computed, not measured: a relaxed structure of FeSi2IrN at the PBE level of DFT.

Values from the calculation:
ρ = 6.69 g/cm³
Raw total energy = -5.73 eV/atom
Space-group type = No. 123
Raw formation energy = 1.57 eV/atom

Cell: 4.173 4.539 4.173 Å, 90.00 90.00 90.00°
Fractional coordinates of all 5 atoms:
1 Si 0.000 0.000 0.500
2 Si 0.500 0.000 0.000
3 N 0.500 0.500 0.500
4 Fe 0.000 0.000 0.000
5 Ir 0.000 0.500 0.000

***

[7]
Computed, not measured: a relaxed structure of Ta2FeIrN at the PBE level of DFT.

Values from the calculation:
ρ = 15.32 g/cm³
Raw total energy = -10.45 eV/atom
Space-group type = No. 123
Raw formation energy = -0.58 eV/atom

Cell: 4.219 4.219 3.800 Å, 90.00 90.00 90.00°
Fractional coordinates of all 5 atoms:
1 N 0.000 0.000 0.000
2 Ta 0.000 0.500 0.000
3 Ta 0.500 0.000 0.000
4 Ir 0.500 0.500 0.500
5 Fe 0.000 0.000 0.500

***

[8]
Computed, not measured: a relaxed structure of TaFe2IrN at the PBE level of DFT.

Values from the calculation:
ρ = 8.05 g/cm³
Raw total energy = -7.13 eV/atom
Space-group type = No. 123
Raw formation energy = 2.06 eV/atom

Cell: 4.620 4.821 4.620 Å, 90.00 90.00 90.00°
Fractional coordinates of all 5 atoms:
1 Ta 0.000 0.500 0.000
2 Fe 0.000 0.000 0.500
3 Fe 0.500 0.000 0.000
4 Ir 0.000 0.000 0.000
5 N 0.500 0.500 0.500

***

[9]
Computed, not measured: a relaxed structure of FeTcIr2N at the PBE level of DFT.

Values from the calculation:
ρ = 8.97 g/cm³
Raw total energy = -6.33 eV/atom
Space-group type = No. 123
Raw formation energy = 2.65 eV/atom

Cell: 4.679 4.667 4.679 Å, 90.00 90.00 90.00°
Fractional coordinates of all 5 atoms:
1 Fe 0.000 0.500 0.000
2 Tc 0.000 0.000 0.000
3 Ir 0.000 0.000 0.500
4 Ir 0.500 0.000 0.000
5 N 0.500 0.500 0.500

***

[10]
Computed, not measured: a relaxed structure of FeTe2IrN at the PBE level of DFT.

Values from the calculation:
ρ = 8.07 g/cm³
Raw total energy = -5.48 eV/atom
Space-group type = No. 123
Raw formation energy = 0.91 eV/atom
Distance to the lowest polymorph of the same formula = 459 meV/atom

Cell: 5.423 5.423 3.618 Å, 90.00 90.00 90.00°
Fractional coordinates of all 5 atoms:
1 Fe 0.500 0.500 0.500
2 Ir 0.000 0.000 0.000
3 Te 0.500 0.000 0.000
4 Te 0.000 0.500 0.000
5 N 0.000 0.000 0.500

***

[11]
Computed, not measured: a relaxed structure of FeTe2IrN at the PBE level of DFT.

Values from the calculation:
ρ = 9.92 g/cm³
Raw total energy = -5.93 eV/atom
Space-group type = No. 123
Raw formation energy = 0.45 eV/atom
Distance to the lowest polymorph of the same formula = 0 meV/atom

Cell: 5.099 5.099 3.331 Å, 90.00 90.00 90.00°
Fractional coordinates of all 5 atoms:
1 Ir 0.500 0.500 0.500
2 N 0.000 0.000 0.500
3 Te 0.500 0.000 0.000
4 Te 0.000 0.500 0.000
5 Fe 0.000 0.000 0.000

***

[12]
Computed, not measured: a relaxed structure of V2FeIrN at the PBE level of DFT.

Values from the calculation:
ρ = 10.56 g/cm³
Raw total energy = -9.32 eV/atom
Space-group type = No. 123
Raw formation energy = -0.54 eV/atom

Cell: 3.914 3.914 3.735 Å, 90.00 90.00 90.00°
Fractional coordinates of all 5 atoms:
1 N 0.000 0.000 0.000
2 Fe 0.000 0.000 0.500
3 V 0.000 0.500 0.000
4 V 0.500 0.000 0.000
5 Ir 0.500 0.500 0.500

***

[13]
Computed, not measured: a relaxed structure of VFe2IrN at the PBE level of DFT.

Values from the calculation:
ρ = 10.81 g/cm³
Raw total energy = -8.95 eV/atom
Space-group type = No. 123
Raw formation energy = -0.30 eV/atom

Cell: 3.808 3.808 3.906 Å, 90.00 90.00 90.00°
Fractional coordinates of all 5 atoms:
1 V 0.000 0.000 0.500
2 N 0.000 0.000 0.000
3 Ir 0.500 0.500 0.500
4 Fe 0.000 0.500 0.000
5 Fe 0.500 0.000 0.000

***

[14]
Computed, not measured: a relaxed structure of FeIrW2N at the PBE level of DFT.

Values from the calculation:
ρ = 16.37 g/cm³
Raw total energy = -10.41 eV/atom
Space-group type = No. 123
Raw formation energy = -0.09 eV/atom

Cell: 4.080 4.080 3.839 Å, 90.00 90.00 90.00°
Fractional coordinates of all 5 atoms:
1 N 0.000 0.000 0.000
2 W 0.500 0.000 0.000
3 W 0.000 0.500 0.000
4 Ir 0.500 0.500 0.500
5 Fe 0.000 0.000 0.500

***

[15]
Computed, not measured: a relaxed structure of Fe2IrWN at the PBE level of DFT.

Values from the calculation:
ρ = 13.85 g/cm³
Raw total energy = -9.49 eV/atom
Space-group type = No. 123
Raw formation energy = -0.08 eV/atom

Cell: 3.859 3.859 4.039 Å, 90.00 90.00 90.00°
Fractional coordinates of all 5 atoms:
1 Fe 0.000 0.500 0.000
2 Fe 0.500 0.000 0.000
3 Ir 0.500 0.500 0.500
4 N 0.000 0.000 0.000
5 W 0.000 0.000 0.500

***

[16]
Computed, not measured: a relaxed structure of YFe2IrN at the PBE level of DFT.

Values from the calculation:
ρ = 5.87 g/cm³
Raw total energy = -5.11 eV/atom
Space-group type = No. 123
Raw formation energy = 3.01 eV/atom

Cell: 4.833 4.923 4.833 Å, 90.00 90.00 90.00°
Fractional coordinates of all 5 atoms:
1 Fe 0.000 0.000 0.500
2 Fe 0.500 0.000 0.000
3 Y 0.000 0.000 0.000
4 Ir 0.000 0.500 0.000
5 N 0.500 0.500 0.500

***

[17]
Computed, not measured: a relaxed structure of NaFeIr2 at the PBE level of DFT.

Values from the calculation:
ρ = 13.37 g/cm³
Raw total energy = -6.36 eV/atom
ΔH_f (0 K) = 0.51 eV/atom
Space-group type = No. 225
Distance to the lowest polymorph of the same formula = 0 meV/atom

Cell: 4.333 4.333 4.333 Å, 60.00 60.00 60.00°
Fractional coordinates of all 4 atoms:
1 Ir 0.250 0.250 0.250
2 Ir 0.750 0.750 0.750
3 Fe 0.500 0.500 0.500
4 Na 0.000 0.000 0.000

***

[18]
Computed, not measured: a relaxed structure of Na2FeIr at the PBE level of DFT.

Values from the calculation:
ρ = 6.17 g/cm³
Raw total energy = -4.02 eV/atom
ΔH_f (0 K) = 0.97 eV/atom
Space-group type = No. 122
Distance to the lowest polymorph of the same formula = 0 meV/atom

Cell: 7.993 7.993 6.172 Å, 49.64 49.64 90.00°
Fractional coordinates of all 8 atoms:
1 Ir 0.750 0.250 0.500
2 Ir 0.000 0.000 0.000
3 Fe 0.500 0.500 0.000
4 Fe 0.250 0.750 0.500
5 Na 0.875 0.878 0.750
6 Na 0.122 0.625 0.250
7 Na 0.375 0.372 0.750
8 Na 0.628 0.125 0.250

***

[19]
Computed, not measured: a relaxed structure of NaFeIr3 at the PBE level of DFT.

Values from the calculation:
ρ = 12.73 g/cm³
Raw total energy = -4.61 eV/atom
ΔH_f (0 K) = 2.67 eV/atom
Space-group type = No. 221
Distance to the lowest polymorph of the same formula = 1456 meV/atom

Cell: 4.405 4.405 4.405 Å, 90.00 90.00 90.00°
Fractional coordinates of all 5 atoms:
1 Ir 0.500 0.000 0.000
2 Ir 0.000 0.500 0.000
3 Ir 0.000 0.000 0.500
4 Fe 0.500 0.500 0.500
5 Na 0.000 0.000 0.000

***

[20]
Computed, not measured: a relaxed structure of Na2FeIr2 at the PBE level of DFT.

Values from the calculation:
ρ = 7.06 g/cm³
Raw total energy = -4.85 eV/atom
ΔH_f (0 K) = 0.92 eV/atom
Space-group type = No. 139
Distance to the lowest polymorph of the same formula = 0 meV/atom

Cell: 3.506 3.506 9.626 Å, 79.51 79.51 90.00°
Fractional coordinates of all 5 atoms:
1 Ir 0.250 0.750 0.500
2 Ir 0.750 0.250 0.500
3 Na 0.387 0.387 0.226
4 Na 0.613 0.613 0.774
5 Fe 0.000 0.000 0.000

***

[21]
Computed, not measured: a relaxed structure of NaFe2Ir at the PBE level of DFT.

Values from the calculation:
ρ = 8.03 g/cm³
Raw total energy = -5.97 eV/atom
ΔH_f (0 K) = 0.81 eV/atom
Space-group type = No. 122
Distance to the lowest polymorph of the same formula = 0 meV/atom

Cell: 7.084 7.084 5.688 Å, 51.49 51.49 90.00°
Fractional coordinates of all 8 atoms:
1 Fe 0.663 0.125 0.250
2 Fe 0.375 0.337 0.750
3 Fe 0.087 0.625 0.250
4 Fe 0.875 0.913 0.750
5 Na 0.500 0.500 0.000
6 Na 0.250 0.750 0.500
7 Ir 0.000 0.000 0.000
8 Ir 0.750 0.250 0.500

***

[22]
Computed, not measured: a relaxed structure of NaFe2Ir at the PBE level of DFT.

Values from the calculation:
ρ = 10.36 g/cm³
Raw total energy = -5.94 eV/atom
ΔH_f (0 K) = 0.83 eV/atom
Space-group type = No. 225
Distance to the lowest polymorph of the same formula = 27 meV/atom

Cell: 4.201 4.201 4.201 Å, 60.00 60.00 60.00°
Fractional coordinates of all 4 atoms:
1 Na 0.000 0.000 0.000
2 Fe 0.750 0.750 0.750
3 Fe 0.250 0.250 0.250
4 Ir 0.500 0.500 0.500

***

[23]
Computed, not measured: a relaxed structure of Na2FeIr at the PBE level of DFT.

Values from the calculation:
ρ = 6.83 g/cm³
Raw total energy = -3.96 eV/atom
ΔH_f (0 K) = 1.03 eV/atom
Space-group type = No. 225
Distance to the lowest polymorph of the same formula = 63 meV/atom

Cell: 4.659 4.659 4.659 Å, 60.00 60.00 60.00°
Fractional coordinates of all 4 atoms:
1 Na 0.750 0.750 0.750
2 Na 0.250 0.250 0.250
3 Ir 0.500 0.500 0.500
4 Fe 0.000 0.000 0.000

***

[24]
Computed, not measured: a relaxed structure of NaFeIr2 at the PBE level of DFT.

Values from the calculation:
ρ = 11.79 g/cm³
Raw total energy = -6.12 eV/atom
ΔH_f (0 K) = 0.75 eV/atom
Space-group type = No. 122
Distance to the lowest polymorph of the same formula = 240 meV/atom

Cell: 7.222 7.222 5.686 Å, 50.58 50.58 90.00°
Fractional coordinates of all 8 atoms:
1 Ir 0.061 0.625 0.250
2 Ir 0.875 0.939 0.750
3 Ir 0.689 0.125 0.250
4 Ir 0.375 0.311 0.750
5 Fe 0.000 0.000 0.000
6 Fe 0.750 0.250 0.500
7 Na 0.500 0.500 0.000
8 Na 0.250 0.750 0.500

***

[25]
Computed, not measured: a relaxed structure of NaFe3Ir at the PBE level of DFT.

Values from the calculation:
ρ = 5.91 g/cm³
Raw total energy = -6.12 eV/atom
ΔH_f (0 K) = 0.99 eV/atom
Space-group type = No. 221
Distance to the lowest polymorph of the same formula = 0 meV/atom

Cell: 4.756 4.756 4.756 Å, 90.00 90.00 90.00°
Fractional coordinates of all 5 atoms:
1 Fe 0.500 0.000 0.000
2 Fe 0.000 0.000 0.500
3 Fe 0.000 0.500 0.000
4 Ir 0.000 0.000 0.000
5 Na 0.500 0.500 0.500

***

[26]
Computed, not measured: a relaxed structure of Na2FeIr2 at the PBE level of DFT.

Values from the calculation:
ρ = 9.52 g/cm³
Raw total energy = -4.56 eV/atom
ΔH_f (0 K) = 1.21 eV/atom
Space-group type = No. 127
Distance to the lowest polymorph of the same formula = 289 meV/atom

Cell: 8.260 8.260 2.487 Å, 90.00 90.00 90.00°
Fractional coordinates of all 10 atoms:
1 Fe 0.000 0.000 0.000
2 Fe 0.500 0.500 0.000
3 Ir 0.307 0.193 0.500
4 Ir 0.693 0.807 0.500
5 Ir 0.807 0.307 0.500
6 Ir 0.193 0.693 0.500
7 Na 0.107 0.393 0.000
8 Na 0.393 0.893 0.000
9 Na 0.607 0.107 0.000
10 Na 0.893 0.607 0.000

***

[27]
Computed, not measured: a relaxed structure of NaFeIr3 at the PBE level of DFT.

Values from the calculation:
ρ = 11.80 g/cm³
Raw total energy = -6.06 eV/atom
ΔH_f (0 K) = 1.21 eV/atom
Space-group type = No. 221
Distance to the lowest polymorph of the same formula = 0 meV/atom

Cell: 4.518 4.518 4.518 Å, 90.00 90.00 90.00°
Fractional coordinates of all 5 atoms:
1 Ir 0.500 0.000 0.000
2 Ir 0.000 0.000 0.500
3 Ir 0.000 0.500 0.000
4 Fe 0.000 0.000 0.000
5 Na 0.500 0.500 0.500

***

[28]
Computed, not measured: a relaxed structure of NaFe3Ir at the PBE level of DFT.

Values from the calculation:
ρ = 8.20 g/cm³
Raw total energy = -5.16 eV/atom
ΔH_f (0 K) = 1.95 eV/atom
Space-group type = No. 221
Distance to the lowest polymorph of the same formula = 964 meV/atom

Cell: 4.264 4.264 4.264 Å, 90.00 90.00 90.00°
Fractional coordinates of all 5 atoms:
1 Fe 0.000 0.000 0.500
2 Fe 0.000 0.500 0.000
3 Fe 0.500 0.000 0.000
4 Ir 0.500 0.500 0.500
5 Na 0.000 0.000 0.000